[1]
Below is Li4PCl after structural relaxation, with properties calculated at the GGA-PBE level.

a = 5.1528 Å, b = 5.1528 Å, c = 5.1528 Å
α = 60.00°, β = 60.00°, γ = 60.00°
Closest atoms and distances in Å follow each position.
Element x y z (fractional)
P: 0.7500 0.7500 0.7500  12 Li 3.01, 4 Cl 3.16
Li: 0.3788 0.3788 0.3788  6 Li 2.50-2.65
Li: 0.3788 0.8636 0.3788  6 Li 2.50-2.65
Cl: 0.0000 0.0000 0.0000  12 Li 3.03, 4 P 3.16
Li: 0.3788 0.3788 0.8636  6 Li 2.50-2.65
Li: 0.8636 0.3788 0.3788  6 Li 2.50-2.65

Properties
ΔE_f (raw), eV/atom: -0.150

[2]
Below is CoRh3Pb after structural relaxation, with properties calculated at the GGA-PBE level.

a = 4.5257 Å, b = 4.5257 Å, c = 4.5257 Å
α = 90.00°, β = 90.00°, γ = 90.00°
Closest atoms and distances in Å follow each position.
Element x y z (fractional)
Rh: 0.0000 0.5000 0.0000  2 Co 2.26
Rh: 0.5000 0.0000 0.0000  2 Co 2.26
Pb: 0.5000 0.5000 0.5000  12 Rh 3.20
Co: 0.0000 0.0000 0.0000  6 Rh 2.26
Rh: 0.0000 0.0000 0.5000  2 Co 2.26

Properties
Formation energy, meV/atom: 716

[3]
Below is TaAg3Se after structural relaxation, with properties calculated at the GGA-PBE level.

a = 5.1678 Å, b = 5.1678 Å, c = 5.1678 Å
α = 90.00°, β = 90.00°, γ = 90.00°
Closest atoms and distances in Å follow each position.
Element x y z (fractional)
Ag: 0.5000 0.0000 0.0000  2 Ta 2.58
Ag: 0.0000 0.0000 0.5000  2 Ta 2.58
Se: 0.5000 0.5000 0.5000  12 Ag 3.65
Ag: 0.0000 0.5000 0.0000  2 Ta 2.58
Ta: 0.0000 0.0000 0.0000  6 Ag 2.58

Properties
ΔE_f (raw), eV/atom: 1.566

[4]
Below is HgOsAu4 after structural relaxation, with properties calculated at the GGA-PBE level.

a = 5.4688 Å, b = 5.4688 Å, c = 5.4688 Å
α = 60.00°, β = 60.00°, γ = 60.00°
Closest atoms and distances in Å follow each position.
Element x y z (fractional)
Hg: 0.7500 0.7500 0.7500  12 Au 3.21, 4 Os 3.35
Au: 0.3747 0.8758 0.3747  6 Au 2.73-2.74
Au: 0.3747 0.3747 0.8758  6 Au 2.73-2.74
Au: 0.3747 0.3747 0.3747  6 Au 2.73-2.74
Os: 0.0000 0.0000 0.0000  12 Au 3.21, 4 Hg 3.35
Au: 0.8758 0.3747 0.3747  6 Au 2.73-2.74

Properties
Formation energy, meV/atom: 789

[5]
Below is Ba2CaAl2 after structural relaxation, with properties calculated at the GGA-PBE level.

a = 9.8945 Å, b = 9.8945 Å, c = 3.7212 Å
α = 90.00°, β = 90.00°, γ = 90.00°
Closest atoms and distances in Å follow each position.
Element x y z (fractional)
Ba: 0.6318 0.1318 0.0000  6 Al 3.38-3.51, 3 Ba 3.69-3.72
Al: 0.3332 0.1668 0.5000  6 Ba 3.38-3.51, 2 Al 3.72
Ba: 0.3682 0.8682 0.0000  6 Al 3.38-3.51, 3 Ba 3.69-3.72
Ca: 0.0000 0.0000 0.0000  2 Ca 3.72, 4 Ba 3.87, 8 Al 4.13
Al: 0.1668 0.6668 0.5000  6 Ba 3.38-3.51, 2 Al 3.72
Al: 0.8332 0.3332 0.5000  6 Ba 3.38-3.51, 2 Al 3.72
Ba: 0.8682 0.6318 0.0000  6 Al 3.38-3.51, 3 Ba 3.69-3.72
Al: 0.6668 0.8332 0.5000  6 Ba 3.38-3.51, 2 Al 3.72
Ca: 0.5000 0.5000 0.0000  2 Ca 3.72, 4 Ba 3.87, 8 Al 4.13
Ba: 0.1318 0.3682 0.0000  6 Al 3.38-3.51, 3 Ba 3.69-3.72

Properties
Formation energy, meV/atom: 104

[6]
Below is Ca4Hg2Pd after structural relaxation, with properties calculated at the GGA-PBE level.

a = 5.2214 Å, b = 5.2214 Å, c = 9.0974 Å
α = 73.32°, β = 73.32°, γ = 60.00°
Closest atoms and distances in Å follow each position.
Element x y z (fractional)
Hg: 0.7515 0.7515 0.7455  8 Ca 3.16-3.26
Pd: 0.0000 0.0000 0.0000  8 Ca 3.14-3.17
Hg: 0.2485 0.2485 0.2545  8 Ca 3.16-3.26
Ca: 0.1218 0.1218 0.6345  1 Pd 3.14, 4 Hg 3.16-3.26
Ca: 0.6287 0.6287 0.1140  4 Hg 3.16-3.25, 3 Pd 3.17
Ca: 0.3713 0.3713 0.8860  4 Hg 3.16-3.25, 3 Pd 3.17
Ca: 0.8782 0.8782 0.3655  1 Pd 3.14, 4 Hg 3.16-3.26

Properties
Formation energy, meV/atom: -458